# 1
The following is a DFT calculation (PBE) of crystalline CuB5Pt8 at its relaxed geometry.

```
data_CuB5Pt8
_chemical_formula_sum 'Cu2 B10 Pt16'
_cell_length_a 16.040
_cell_length_b 3.055
_cell_length_c 7.430
_cell_angle_alpha 90.00
_cell_angle_beta 94.36
_cell_angle_gamma 90.00
_space_group_name_H-M_alt 'C 1 m 1'
_space_group_IT_number 8
loop_
_space_group_symop_operation_xyz
'x,y,z'
'x,-y,z'
'x+1/2,y+1/2,z'
'x+1/2,-y+1/2,z'
loop_
_atom_site_label
_atom_site_fract_x
_atom_site_fract_y
_atom_site_fract_z
Cu1 0.000 0.000 0.000
B1 0.062 0.000 0.749
B2 0.124 0.000 0.399
B3 0.156 0.500 0.168
B4 0.257 0.500 0.825
B5 0.391 0.000 0.437
Pt1 0.041 0.500 0.299
Pt2 0.145 0.500 0.622
Pt3 0.166 0.000 0.948
Pt4 0.239 0.000 0.288
Pt5 0.323 0.500 0.579
Pt6 0.341 0.000 0.916
Pt7 0.389 0.500 0.238
Pt8 0.474 0.000 0.691
```

ΔH_f (0 K) (eV/atom): -0.150
E_tot (eV/atom): -6.280

# 2
The following is a DFT calculation (PBE) of crystalline Cu2BPt2 at its relaxed geometry.

```
data_Cu2BPt2
_chemical_formula_sum 'Cu4 B2 Pt4'
_cell_length_a 5.605
_cell_length_b 5.605
_cell_length_c 4.348
_cell_angle_alpha 90.00
_cell_angle_beta 90.00
_cell_angle_gamma 90.00
_space_group_name_H-M_alt 'P 4/m b m'
_space_group_IT_number 127
_space_group_name_Hall '-P 4 2ab'
loop_
_atom_site_label
_atom_site_fract_x
_atom_site_fract_y
_atom_site_fract_z
Cu1 0.155 0.345 0.000
B1 0.000 0.000 0.500
Pt1 0.166 0.666 0.500
```

ΔH_f (0 K) (eV/atom): -0.137
E_tot (eV/atom): -5.527

# 3
The following is a DFT calculation (PBE) of crystalline CuB3Pt6 at its relaxed geometry.

```
data_CuB3Pt6
_chemical_formula_sum 'Cu3 B9 Pt18'
_cell_length_a 5.5007
_cell_length_b 5.5007
_cell_length_c 15.9951
_cell_angle_alpha 90.00
_cell_angle_beta 90.00
_cell_angle_gamma 120.00
_space_group_name_H-M_alt 'R 3'
_space_group_IT_number 146
_space_group_name_Hall 'R 3'
loop_
_atom_site_label
_atom_site_fract_x
_atom_site_fract_y
_atom_site_fract_z
Cu1 0.0000 0.0000 0.0000
B1 0.0000 0.0000 0.2198
B2 0.0000 0.0000 0.4496
B3 0.0000 0.0000 0.7817
Pt1 0.9999 0.4758 0.0240
Pt2 0.0028 0.3754 0.1974
```

ΔH_f (0 K) (eV/atom): -0.143
E_tot (eV/atom): -6.180

# 4
The following is a DFT calculation (PBE) of crystalline CuB2Pt2 at its relaxed geometry.

```
data_CuB2Pt2
_chemical_formula_sum 'Cu2 B4 Pt4'
_cell_length_a 6.143
_cell_length_b 6.143
_cell_length_c 3.092
_cell_angle_alpha 90.00
_cell_angle_beta 90.00
_cell_angle_gamma 90.00
_space_group_name_H-M_alt 'P 4/m b m'
_space_group_IT_number 127
_space_group_name_Hall '-P 4 2ab'
loop_
_atom_site_label
_atom_site_fract_x
_atom_site_fract_y
_atom_site_fract_z
Cu1 0.000 0.000 0.000
B1 0.097 0.403 0.000
Pt1 0.236 0.736 0.500
```

ΔH_f (0 K) (eV/atom): 0.046
E above lowest polymorph (eV per formula unit): 0.94
E_tot (eV/atom): -5.861

# 5
The following is a DFT calculation (PBE) of crystalline Cu3B5Pt9 at its relaxed geometry.

```
data_Cu3B5Pt9
_chemical_formula_sum 'Cu3 B5 Pt9'
_cell_length_a 9.0990
_cell_length_b 9.0990
_cell_length_c 2.9876
_cell_angle_alpha 90.00
_cell_angle_beta 90.00
_cell_angle_gamma 120.00
_space_group_name_H-M_alt 'P -6 2 m'
_space_group_IT_number 189
_space_group_name_Hall 'P -6 -2'
loop_
_atom_site_label
_atom_site_fract_x
_atom_site_fract_y
_atom_site_fract_z
Cu1 0.0000 0.4588 0.0000
B1 0.0000 0.8118 0.5000
B2 0.3333 0.6667 0.0000
Pt1 0.0000 0.1766 0.0000
Pt2 0.1965 0.7353 0.5000
```

ΔH_f (0 K) (eV/atom): -0.230
E_tot (eV/atom): -6.115

# 6
The following is a DFT calculation (PBE) of crystalline CuBPt2 at its relaxed geometry.

```
data_CuBPt2
_chemical_formula_sum 'Cu4 B4 Pt8'
_cell_length_a 6.526
_cell_length_b 6.526
_cell_length_c 5.109
_cell_angle_alpha 90.00
_cell_angle_beta 90.00
_cell_angle_gamma 90.00
_space_group_name_H-M_alt 'I -4 2 d'
_space_group_IT_number 122
_space_group_name_Hall 'I -4 2bw'
loop_
_atom_site_label
_atom_site_fract_x
_atom_site_fract_y
_atom_site_fract_z
Cu1 0.000 0.000 0.000
B1 0.000 0.000 0.500
Pt1 0.166 0.750 0.625
```

ΔH_f (0 K) (eV/atom): -0.122
E_tot (eV/atom): -5.836

# 7
The following is a DFT calculation (PBE) of crystalline Cu2BPt6 at its relaxed geometry.

```
data_Cu2BPt6
_chemical_formula_sum 'Cu4 B2 Pt12'
_cell_length_a 9.870
_cell_length_b 5.656
_cell_length_c 5.697
_cell_angle_alpha 90.00
_cell_angle_beta 125.17
_cell_angle_gamma 90.00
_space_group_name_H-M_alt 'C 1 2/m 1'
_space_group_IT_number 12
loop_
_space_group_symop_operation_xyz
'x,y,z'
'-x,-y,-z'
'-x,y,-z'
'x,-y,z'
'x+1/2,y+1/2,z'
'-x+1/2,-y+1/2,-z'
'-x+1/2,y+1/2,-z'
'x+1/2,-y+1/2,z'
loop_
_atom_site_label
_atom_site_fract_x
_atom_site_fract_y
_atom_site_fract_z
Cu1 0.250 0.000 0.250
B1 0.000 0.000 0.500
Pt1 0.009 0.258 0.251
Pt2 0.242 0.500 0.224
```

ΔH_f (0 K) (eV/atom): -0.166
E_tot (eV/atom): -5.846

# 8
The following is a DFT calculation (PBE) of crystalline CuB2Pt at its relaxed geometry.

```
data_CuB2Pt
_chemical_formula_sum 'Cu4 B8 Pt4'
_cell_length_a 4.790
_cell_length_b 4.790
_cell_length_c 9.372
_cell_angle_alpha 90.00
_cell_angle_beta 90.00
_cell_angle_gamma 90.00
_space_group_name_H-M_alt 'I -4 2 d'
_space_group_IT_number 122
_space_group_name_Hall 'I -4 2bw'
loop_
_atom_site_label
_atom_site_fract_x
_atom_site_fract_y
_atom_site_fract_z
Cu1 0.000 0.000 0.000
B1 0.245 0.250 0.625
Pt1 0.000 0.000 0.500
```

ΔH_f (0 K) (eV/atom): 0.549
E above lowest polymorph (eV per formula unit): 0.00
E_tot (eV/atom): -5.324

# 9
The following is a DFT calculation (PBE) of crystalline CuB3Pt7 at its relaxed geometry.

```
data_CuB3Pt7
_chemical_formula_sum 'Cu2 B6 Pt14'
_cell_length_a 7.316
_cell_length_b 7.973
_cell_length_c 5.624
_cell_angle_alpha 90.00
_cell_angle_beta 111.45
_cell_angle_gamma 90.00
_space_group_name_H-M_alt 'C 1 2/m 1'
_space_group_IT_number 12
loop_
_space_group_symop_operation_xyz
'x,y,z'
'-x,-y,-z'
'-x,y,-z'
'x,-y,z'
'x+1/2,y+1/2,z'
'-x+1/2,-y+1/2,-z'
'-x+1/2,y+1/2,-z'
'x+1/2,-y+1/2,z'
loop_
_atom_site_label
_atom_site_fract_x
_atom_site_fract_y
_atom_site_fract_z
Cu1 0.000 0.000 0.000
B1 0.000 0.277 0.500
B2 0.000 0.500 0.000
Pt1 0.000 0.000 0.500
Pt2 0.138 0.500 0.746
Pt3 0.157 0.287 0.243
```

ΔH_f (0 K) (eV/atom): -0.141
E_tot (eV/atom): -6.178

# 10
The following is a DFT calculation (PBE) of crystalline CuBPt at its relaxed geometry.

```
data_CuBPt
_chemical_formula_sum 'Cu4 B4 Pt4'
_cell_length_a 3.445
_cell_length_b 3.557
_cell_length_c 11.555
_cell_angle_alpha 90.00
_cell_angle_beta 90.00
_cell_angle_gamma 90.00
_space_group_name_H-M_alt 'I m m m'
_space_group_IT_number 71
_space_group_name_Hall '-I 2 2'
loop_
_atom_site_label
_atom_site_fract_x
_atom_site_fract_y
_atom_site_fract_z
Cu1 0.000 0.000 0.102
B1 0.000 0.255 0.500
Pt1 0.000 0.000 0.326
```

ΔH_f (0 K) (eV/atom): 0.019
E_tot (eV/atom): -5.585

# 11
The following is a DFT calculation (PBE) of crystalline Cu3B4Pt9 at its relaxed geometry.

```
data_Cu3B4Pt9
_chemical_formula_sum 'Cu9 B12 Pt27'
_cell_length_a 5.6323
_cell_length_b 5.6323
_cell_length_c 25.0297
_cell_angle_alpha 90.00
_cell_angle_beta 90.00
_cell_angle_gamma 120.00
_space_group_name_H-M_alt 'R 3'
_space_group_IT_number 146
_space_group_name_Hall 'R 3'
loop_
_atom_site_label
_atom_site_fract_x
_atom_site_fract_y
_atom_site_fract_z
Cu1 0.0000 0.0000 0.0000
Cu2 0.0000 0.0000 0.1593
Cu3 0.0000 0.0000 0.5990
B1 0.0000 0.0000 0.2997
B2 0.0000 0.0000 0.4130
B3 0.0000 0.0000 0.7502
B4 0.0000 0.0000 0.8623
Pt1 0.0032 0.4783 0.1390
Pt2 0.1102 0.3355 0.9131
Pt3 0.1450 0.3365 0.3568
```

ΔH_f (0 K) (eV/atom): -0.089
E_tot (eV/atom): -5.925

Which formula does entry 7 have? Cu2BPt6

The lowest ΔH_f (0 K) belongs to which entry? Cu3B5Pt9

The lowest ΔH_f (0 K) belongs to which entry? Cu3B5Pt9